Entry 1:
The following is a DFT calculation (PBE) of a geometry-optimized TcTe3As structure.

Calculated values
Offset from the most stable computed form = 0 meV per atom
Magnetization = 0.00 μB per formula unit
Fermi-level density of states = 5.80 states/eV per cell
V = 139 Å³ per cell

Cell lengths 5.180, 5.180, 5.180 Å; angles 90.00, 90.00, 90.00 degrees
Space group Pm-3m (No. 221)
One atom of each set of equivalent atoms:
Tc (0.000, 0.000, 0.000) [1 per cell]
Te (0.000, 0.000, 0.500) [3 per cell]
As (0.500, 0.500, 0.500) [1 per cell]


Entry 2:
The following is a DFT calculation (PBE) of a geometry-optimized TcTeAs2 structure.

Calculated values
Energy = -0.186 Ha/atom
Magnetization = 0.00 μB per formula unit
Fermi-level density of states = 7.65 states/eV per cell
V = 152 Å³ per cell

Cell lengths 5.726, 7.895, 3.371 Å; angles 90.00, 90.00, 90.00 degrees
Space group Cmmm (No. 65)
One atom of each set of equivalent atoms:
Tc (0.000, 0.000, 0.000) [2 per cell]
Te (0.000, 0.500, 0.000) [2 per cell]
As (0.250, 0.250, 0.500) [4 per cell]


Entry 3:
The following is a DFT calculation (PBE) of a geometry-optimized TcTeAs2 structure.

Calculated values
Energy = -0.193 Ha/atom
Magnetization = 0.00 μB per formula unit
Fermi-level density of states = 5.83 states/eV per cell
V = 161 Å³ per cell

Cell lengths 3.279, 5.122, 9.601 Å; angles 90.00, 90.00, 90.00 degrees
Space group Cmm2 (No. 35)
One atom of each set of equivalent atoms:
Tc (0.000, 0.000, 0.000) [2 per cell]
Te (0.000, 0.500, 0.764) [2 per cell]
As (0.000, 0.000, 0.458) [2 per cell]
As (0.000, 0.500, 0.191) [2 per cell]


Entry 4:
The following is a DFT calculation (PBE) of a geometry-optimized Tc2TeAs structure.

Calculated values
Offset from the most stable computed form = 22 meV per atom
Magnetization = 0.00 μB per formula unit
Fermi-level density of states = 3.97 states/eV per cell
V = 144 Å³ per cell

Cell lengths 8.581, 3.274, 5.277 Å; angles 90.00, 104.50, 90.00 degrees
Space group Cm (No. 8)
One atom of each set of equivalent atoms:
Tc (0.000, 0.000, 0.000) [2 per cell]
Tc (0.222, 0.000, 0.601) [2 per cell]
Te (0.245, 0.500, 0.203) [2 per cell]
As (0.011, 0.500, 0.644) [2 per cell]


Entry 5:
The following is a DFT calculation (PBE) of a geometry-optimized Tc2TeAs structure.

Calculated values
Offset from the most stable computed form = 180 meV per atom
Magnetization = 0.00 μB per formula unit
Fermi-level density of states = 7.12 states/eV per cell
V = 141 Å³ per cell

Cell lengths 3.261, 3.775, 11.417 Å; angles 90.00, 90.00, 90.00 degrees
Space group Imm2 (No. 44)
One atom of each set of equivalent atoms:
Tc (0.000, 0.000, 0.000) [2 per cell]
Tc (0.000, 0.500, 0.237) [2 per cell]
Te (0.000, 0.500, 0.829) [2 per cell]
As (0.000, 0.000, 0.572) [2 per cell]


Entry 6:
The following is a DFT calculation (PBE) of a geometry-optimized TcTeAs2 structure.

Calculated values
Energy = -0.193 Ha/atom
Magnetization = 1.27 μB per formula unit
Fermi-level density of states = 9.06 states/eV per cell
V = 165 Å³ per cell

Cell lengths 5.489, 5.489, 5.466 Å; angles 90.00, 90.00, 90.00 degrees
Space group I4/mmm (No. 139)
One atom of each set of equivalent atoms:
Tc (0.000, 0.000, 0.000) [2 per cell]
Te (0.000, 0.000, 0.500) [2 per cell]
As (0.000, 0.500, 0.000) [4 per cell]


Entry 7:
The following is a DFT calculation (PBE) of a geometry-optimized Tc3TeAs structure.

Calculated values
Offset from the most stable computed form = 790 meV per atom
Magnetization = 2.08 μB per formula unit
Fermi-level density of states = 5.32 states/eV per cell
V = 114 Å³ per cell

Cell lengths 4.845, 4.845, 4.845 Å; angles 90.00, 90.00, 90.00 degrees
Space group Pm-3m (No. 221)
One atom of each set of equivalent atoms:
Tc (0.000, 0.000, 0.500) [3 per cell]
Te (0.000, 0.000, 0.000) [1 per cell]
As (0.500, 0.500, 0.500) [1 per cell]


Entry 8:
The following is a DFT calculation (PBE) of a geometry-optimized TcTeAs structure.

Calculated values
Offset from the most stable computed form = 0 meV per atom
Magnetization = 0.00 μB per formula unit
Fermi-level density of states = 3.94 states/eV per cell
V = 250 Å³ per cell

Cell lengths 6.540, 6.454, 6.621 Å; angles 90.00, 116.57, 90.00 degrees
Space group P2_1/c (No. 14)
One atom of each set of equivalent atoms:
Tc (0.204, 0.003, 0.194) [4 per cell]
Te (0.345, 0.623, 0.140) [4 per cell]
As (0.155, 0.148, 0.833) [4 per cell]


Entry 9:
The following is a DFT calculation (PBE) of a geometry-optimized Tc2TeAs structure.

Calculated values
Offset from the most stable computed form = 215 meV per atom
Magnetization = 0.00 μB per formula unit
Fermi-level density of states = 9.98 states/eV per cell
V = 204 Å³ per cell

Cell lengths 3.1656, 3.1656, 23.4990 Å; angles 90.00, 90.00, 120.00 degrees
Space group R-3m (No. 166, hexagonal axes)
One atom of each set of equivalent atoms:
Tc (0.0000, 0.0000, 0.2442) [6 per cell]
Te (0.0000, 0.0000, 0.0000) [3 per cell]
As (0.0000, 0.0000, 0.5000) [3 per cell]


Entry 10:
The following is a DFT calculation (PBE) of a geometry-optimized Tc2TeAs2 structure.

Calculated values
Offset from the most stable computed form = 85 meV per atom
Magnetization = 0.00 μB per formula unit
Fermi-level density of states = 5.32 states/eV per cell
V = 186 Å³ per cell

Cell lengths 3.923, 3.923, 12.102 Å; angles 90.00, 90.00, 90.00 degrees
Space group I4/mmm (No. 139)
One atom of each set of equivalent atoms:
Tc (0.000, 0.000, 0.121) [4 per cell]
Te (0.000, 0.000, 0.500) [2 per cell]
As (0.000, 0.500, 0.250) [4 per cell]


Entry 11:
The following is a DFT calculation (PBE) of a geometry-optimized TcTeAs structure.

Calculated values
Offset from the most stable computed form = 227 meV per atom
Magnetization = 0.00 μB per formula unit
Fermi-level density of states = 3.21 states/eV per cell
V = 125 Å³ per cell

Cell lengths 3.131, 3.131, 12.746 Å; angles 90.00, 90.00, 90.00 degrees
Space group I4mm (No. 107)
One atom of each set of equivalent atoms:
Tc (0.000, 0.000, 0.000) [2 per cell]
Te (0.000, 0.000, 0.634) [2 per cell]
As (0.000, 0.000, 0.381) [2 per cell]


Entry 12:
The following is a DFT calculation (PBE) of a geometry-optimized Tc3TeAs structure.

Calculated values
Offset from the most stable computed form = 0 meV per atom
Magnetization = 1.65 μB per formula unit
Fermi-level density of states = 8.22 states/eV per cell
V = 98 Å³ per cell

Cell lengths 4.614, 4.614, 4.614 Å; angles 90.00, 90.00, 90.00 degrees
Space group Pm-3m (No. 221)
One atom of each set of equivalent atoms:
Tc (0.000, 0.000, 0.500) [3 per cell]
Te (0.500, 0.500, 0.500) [1 per cell]
As (0.000, 0.000, 0.000) [1 per cell]


Entry 13:
The following is a DFT calculation (PBE) of a geometry-optimized Tc2TeAs structure.

Calculated values
Offset from the most stable computed form = 619 meV per atom
Magnetization = 0.00 μB per formula unit
Fermi-level density of states = 8.83 states/eV per cell
V = 141 Å³ per cell

Cell lengths 6.207, 8.289, 3.119 Å; angles 90.00, 118.41, 90.00 degrees
Space group C2/m (No. 12)
One atom of each set of equivalent atoms:
Tc (0.250, 0.250, 0.000) [4 per cell]
Te (0.000, 0.000, 0.500) [2 per cell]
As (0.000, 0.500, 0.500) [2 per cell]


Entry 14:
The following is a DFT calculation (PBE) of a geometry-optimized Tc2TeAs2 structure.

Calculated values
Offset from the most stable computed form = 0 meV per atom
Magnetization = 0.00 μB per formula unit
Fermi-level density of states = 9.27 states/eV per cell
V = 173 Å³ per cell

Cell lengths 7.474, 7.474, 3.097 Å; angles 90.00, 90.00, 90.00 degrees
Space group P4/mbm (No. 127)
One atom of each set of equivalent atoms:
Tc (0.143, 0.357, 0.000) [4 per cell]
Te (0.000, 0.000, 0.000) [2 per cell]
As (0.139, 0.639, 0.500) [4 per cell]


Entry 15:
The following is a DFT calculation (PBE) of a geometry-optimized Tc4TeAs2 structure.

Calculated values
Energy = -0.232 Ha/atom
Magnetization = 1.59 μB per formula unit
Fermi-level density of states = 19.45 states/eV per cell
V = 295 Å³ per cell

Cell lengths 4.803, 4.803, 12.805 Å; angles 90.00, 90.00, 90.00 degrees
Space group I4/mmm (No. 139)
One atom of each set of equivalent atoms:
Tc (0.000, 0.000, 0.202) [4 per cell]
Tc (0.000, 0.500, 0.000) [4 per cell]
Te (0.000, 0.000, 0.000) [2 per cell]
As (0.000, 0.000, 0.385) [4 per cell]


Entry 16:
The following is a DFT calculation (PBE) of a geometry-optimized TcTeAs2 structure.

Calculated values
Energy = -0.209 Ha/atom
Magnetization = 0.00 μB per formula unit
Fermi-level density of states = 2.81 states/eV per cell
V = 249 Å³ per cell

Cell lengths 3.1964, 3.1964, 28.1941 Å; angles 90.00, 90.00, 120.00 degrees
Space group R-3m (No. 166, hexagonal axes)
One atom of each set of equivalent atoms:
Tc (0.0000, 0.0000, 0.0000) [3 per cell]
Te (0.0000, 0.0000, 0.5000) [3 per cell]
As (0.0000, 0.0000, 0.2713) [6 per cell]


Entry 17:
The following is a DFT calculation (PBE) of a geometry-optimized TcTeAs2 structure.

Calculated values
Energy = -0.202 Ha/atom
Magnetization = 0.00 μB per formula unit
Fermi-level density of states = 12.63 states/eV per cell
V = 249 Å³ per cell

Cell lengths 3.2800, 3.2800, 26.7115 Å; angles 90.00, 90.00, 120.00 degrees
Space group R3m (No. 160, hexagonal axes)
One atom of each set of equivalent atoms:
Tc (0.0000, 0.0000, 0.0000) [3 per cell]
Te (0.0000, 0.0000, 0.2627) [3 per cell]
As (0.0000, 0.0000, 0.4738) [3 per cell]
As (0.0000, 0.0000, 0.7356) [3 per cell]


Entry 18:
The following is a DFT calculation (PBE) of a geometry-optimized TcTe3As structure.

Calculated values
Offset from the most stable computed form = 460 meV per atom
Magnetization = 4.45 μB per formula unit
Fermi-level density of states = 3.23 states/eV per cell
V = 156 Å³ per cell

Cell lengths 5.385, 5.385, 5.385 Å; angles 90.00, 90.00, 90.00 degrees
Space group Pm-3m (No. 221)
One atom of each set of equivalent atoms:
Tc (0.000, 0.000, 0.000) [1 per cell]
Te (0.000, 0.500, 0.500) [3 per cell]
As (0.500, 0.500, 0.500) [1 per cell]


Entry 19:
The following is a DFT calculation (PBE) of a geometry-optimized TcTeAs2 structure.

Calculated values
Energy = -0.197 Ha/atom
Magnetization = 0.00 μB per formula unit
Fermi-level density of states = 20.45 states/eV per cell
V = 431 Å³ per cell

Cell lengths 6.248, 6.248, 11.046 Å; angles 90.00, 90.00, 90.00 degrees
Space group I-42d (No. 122)
One atom of each set of equivalent atoms:
Tc (0.000, 0.000, 0.000) [4 per cell]
Te (0.000, 0.000, 0.500) [4 per cell]
As (0.181, 0.250, 0.125) [8 per cell]


Entry 20:
The following is a DFT calculation (PBE) of a geometry-optimized Tc2TeAs structure.

Calculated values
Offset from the most stable computed form = 437 meV per atom
Magnetization = 0.00 μB per formula unit
Fermi-level density of states = 9.30 states/eV per cell
V = 157 Å³ per cell

Cell lengths 3.086, 5.047, 10.060 Å; angles 90.00, 90.00, 90.00 degrees
Space group Cmm2 (No. 35)
One atom of each set of equivalent atoms:
Tc (0.000, 0.000, 0.000) [2 per cell]
Tc (0.000, 0.500, 0.209) [2 per cell]
Te (0.000, 0.500, 0.773) [2 per cell]
As (0.000, 0.000, 0.410) [2 per cell]


Entry 21:
The following is a DFT calculation (PBE) of a geometry-optimized TcTeAs structure.

Calculated values
Offset from the most stable computed form = 598 meV per atom
Magnetization = 0.00 μB per formula unit
Fermi-level density of states = 1.67 states/eV per cell
V = 60 Å³ per cell

Cell lengths 4.3822, 4.3822, 3.5890 Å; angles 90.00, 90.00, 120.00 degrees
Space group P3m1 (No. 156)
One atom of each set of equivalent atoms:
Tc (0.0000, 0.0000, 0.0000) [1 per cell]
Te (0.6667, 0.3333, 0.4180) [1 per cell]
As (0.3333, 0.6667, 0.9495) [1 per cell]


Entry 22:
The following is a DFT calculation (PBE) of a geometry-optimized TcTeAs2 structure.

Calculated values
Energy = -0.191 Ha/atom
Magnetization = 0.00 μB per formula unit
Fermi-level density of states = 5.70 states/eV per cell
V = 153 Å³ per cell

Cell lengths 6.840, 6.444, 4.692 Å; angles 90.00, 132.21, 90.00 degrees
Space group C2 (No. 5)
One atom of each set of equivalent atoms:
Tc (0.000, 0.000, 0.000) [2 per cell]
Te (0.000, 0.715, 0.500) [2 per cell]
As (0.000, 0.199, 0.500) [2 per cell]
As (0.000, 0.421, 0.000) [2 per cell]


Entry 23:
The following is a DFT calculation (PBE) of a geometry-optimized TcTeAs structure.

Calculated values
Offset from the most stable computed form = 335 meV per atom
Magnetization = 0.00 μB per formula unit
Fermi-level density of states = 10.86 states/eV per cell
V = 247 Å³ per cell

Cell lengths 6.276, 6.276, 6.276 Å; angles 90.00, 90.00, 90.00 degrees
Space group F-43m (No. 216)
One atom of each set of equivalent atoms:
Tc (0.000, 0.000, 0.000) [4 per cell]
Te (0.250, 0.250, 0.250) [4 per cell]
As (0.250, 0.250, 0.750) [4 per cell]


Entry 24:
The following is a DFT calculation (PBE) of a geometry-optimized Tc2TeAs structure.

Calculated values
Offset from the most stable computed form = 483 meV per atom
Magnetization = 0.00 μB per formula unit
Fermi-level density of states = 26.25 states/eV per cell
V = 378 Å³ per cell

Cell lengths 5.758, 5.758, 11.406 Å; angles 90.00, 90.00, 90.00 degrees
Space group I-42d (No. 122)
One atom of each set of equivalent atoms:
Tc (0.223, 0.250, 0.125) [8 per cell]
Te (0.000, 0.000, 0.500) [4 per cell]
As (0.000, 0.000, 0.000) [4 per cell]


Entry 25:
The following is a DFT calculation (PBE) of a geometry-optimized Tc2TeAs structure.

Calculated values
Offset from the most stable computed form = 487 meV per atom
Magnetization = 0.00 μB per formula unit
Fermi-level density of states = 7.83 states/eV per cell
V = 136 Å³ per cell

Cell lengths 4.121, 4.121, 8.019 Å; angles 90.00, 90.00, 90.00 degrees
Space group I-4m2 (No. 119)
One atom of each set of equivalent atoms:
Tc (0.000, 0.000, 0.000) [2 per cell]
Tc (0.000, 0.500, 0.250) [2 per cell]
Te (0.000, 0.500, 0.750) [2 per cell]
As (0.000, 0.000, 0.500) [2 per cell]


Entry 26:
The following is a DFT calculation (PBE) of a geometry-optimized TcTeAs2 structure.

Calculated values
Energy = -0.206 Ha/atom
Magnetization = 0.49 μB per formula unit
Fermi-level density of states = 3.39 states/eV per cell
V = 189 Å³ per cell

Cell lengths 8.061, 3.474, 6.850 Å; angles 90.00, 100.58, 90.00 degrees
Space group Cm (No. 8)
One atom of each set of equivalent atoms:
Tc (0.000, 0.000, 0.000) [2 per cell]
Te (0.267, 0.000, 0.749) [2 per cell]
As (0.020, 0.500, 0.308) [2 per cell]
As (0.223, 0.500, 0.104) [2 per cell]


Entry 27:
The following is a DFT calculation (PBE) of a geometry-optimized TcTeAs2 structure.

Calculated values
Energy = -0.202 Ha/atom
Magnetization = 0.00 μB per formula unit
Fermi-level density of states = 6.46 states/eV per cell
V = 170 Å³ per cell

Cell lengths 3.154, 4.162, 12.987 Å; angles 90.00, 90.00, 90.00 degrees
Space group Imm2 (No. 44)
One atom of each set of equivalent atoms:
Tc (0.000, 0.000, 0.000) [2 per cell]
Te (0.000, 0.500, 0.326) [2 per cell]
As (0.000, 0.000, 0.536) [2 per cell]
As (0.000, 0.500, 0.665) [2 per cell]


Entry 28:
The following is a DFT calculation (PBE) of a geometry-optimized TcTeAs2 structure.

Calculated values
Energy = -0.211 Ha/atom
Magnetization = 0.00 μB per formula unit
Fermi-level density of states = 2.22 states/eV per cell
V = 85 Å³ per cell

Cell lengths 3.066, 3.066, 9.097 Å; angles 90.00, 90.00, 90.00 degrees
Space group P4/mmm (No. 123)
One atom of each set of equivalent atoms:
Tc (0.000, 0.000, 0.000) [1 per cell]
Te (0.000, 0.000, 0.500) [1 per cell]
As (0.500, 0.500, 0.164) [2 per cell]